Record 1
! PBE Cd2Ag3GeO6, relaxed; values from VASP
! - Raw total energy: -54.2 eV/cell
! - Crystal system: monoclinic
! - DOS(E_F): 7.5 states/eV/cell
! - Formation energy without anion corrections: -9.45 eV per formula unit
&SYSTEM
  ibrav = 0, nat = 12, ntyp = 4
/
ATOMIC_SPECIES
Cd 112.41 Cd.upf
Ag 107.87 Ag.upf
Ge 72.64 Ge.upf
O 16.00 O.upf
CELL_PARAMETERS angstrom
2.8391 -4.9893 0.0000
2.8391 4.9893 0.0000
-1.8227 0.0000 6.2360
ATOMIC_POSITIONS crystal
Cd 0.1668 0.8332 0.0000
Cd 0.8332 0.1668 0.0000
Ag 0.0000 0.0000 0.5000
Ag 0.3581 0.6419 0.5000
Ag 0.6419 0.3581 0.5000
Ge 0.5000 0.5000 0.0000
O 0.1593 0.1593 0.8293
O 0.2704 0.5548 0.1691
O 0.4452 0.7296 0.8309
O 0.5548 0.2704 0.1691
O 0.7296 0.4452 0.8309
O 0.8407 0.8407 0.1707

---

Record 2
! PBE Y4Ho3ScSe8, relaxed; values from VASP
! - Raw total energy: -101.3 eV/cell
! - Crystal system: trigonal
! - DOS(E_F): 11.3 states/eV/cell
! - Formation energy without anion corrections: -27.48 eV per formula unit
&SYSTEM
  ibrav = 0, nat = 16, ntyp = 4
/
ATOMIC_SPECIES
Y 88.91 Y.upf
Ho 164.93 Ho.upf
Sc 44.96 Sc.upf
Se 78.96 Se.upf
CELL_PARAMETERS angstrom
4.0490 2.3377 6.6338
-4.0490 2.3377 6.6338
0.0000 -4.6754 6.6338
ATOMIC_POSITIONS crystal
Y 0.0000 0.0000 0.0000
Y 0.0000 0.5000 0.5000
Y 0.5000 0.0000 0.5000
Y 0.5000 0.5000 0.0000
Ho 0.0000 0.0000 0.5000
Ho 0.0000 0.5000 0.0000
Ho 0.5000 0.0000 0.0000
Sc 0.5000 0.5000 0.5000
Se 0.2490 0.2490 0.2490
Se 0.2535 0.7445 0.7445
Se 0.2555 0.2555 0.7465
Se 0.2555 0.7465 0.2555
Se 0.7445 0.2535 0.7445
Se 0.7445 0.7445 0.2535
Se 0.7465 0.2555 0.2555
Se 0.7510 0.7510 0.7510

---

Record 3
! PBE Nb6PtAu, relaxed; values from VASP
! - Raw total energy: -71.7 eV/cell
! - Formation energy from the elements: -251 meV/atom
! - Crystal system: cubic
! - DOS(E_F): 10.9 states/eV/cell
&SYSTEM
  ibrav = 0, nat = 8, ntyp = 3
/
ATOMIC_SPECIES
Nb 92.91 Nb.upf
Pt 195.08 Pt.upf
Au 196.97 Au.upf
CELL_PARAMETERS angstrom
5.2265 0.0000 0.0000
0.0000 5.2265 0.0000
0.0000 0.0000 5.2265
ATOMIC_POSITIONS crystal
Nb 0.0000 0.2538 0.5000
Nb 0.0000 0.7462 0.5000
Nb 0.2538 0.5000 0.0000
Nb 0.5000 0.0000 0.2538
Nb 0.5000 0.0000 0.7462
Nb 0.7462 0.5000 0.0000
Pt 0.5000 0.5000 0.5000
Au 0.0000 0.0000 0.0000